No. 1
Entry from Alexandria via LeMat-Bulk: a relaxed structure of HfAg3F (PBE-GGA).

a b c (Å): 5.3699 5.3699 5.3699
angles (deg): 90.00 90.00 90.00
Closest atoms and distances in Å follow each position.
Positions (direct):
Hf 0.0000 0.0000 0.0000  6 Ag 2.68
Ag 0.0000 0.5000 0.0000  2 Hf 2.68
Ag 0.0000 0.0000 0.5000  2 Hf 2.68
Ag 0.5000 0.0000 0.0000  2 Hf 2.68
F 0.5000 0.5000 0.5000  12 Ag 3.80

Offset from the most stable computed form ... 712 meV per atom
Space-group type ... No. 221


No. 2
Entry from Alexandria via LeMat-Bulk: a relaxed structure of HfAg3F (PBE-GGA).

a b c (Å): 4.5937 4.5937 4.5937
angles (deg): 90.00 90.00 90.00
Closest atoms and distances in Å follow each position.
Positions (direct):
Hf 0.5000 0.5000 0.5000  12 Ag 3.25
Ag 0.0000 0.5000 0.0000  2 F 2.30
Ag 0.0000 0.0000 0.5000  2 F 2.30
Ag 0.5000 0.0000 0.0000  2 F 2.30
F 0.0000 0.0000 0.0000  6 Ag 2.30

Offset from the most stable computed form ... 0 meV per atom
Space-group type ... No. 221


No. 3
Entry from Alexandria via LeMat-Bulk: a relaxed structure of Hf2AgF (PBE-GGA).

a b c (Å): 5.0741 5.0741 7.4448
angles (deg): 70.08 70.08 90.00
Closest atoms and distances in Å follow each position.
Positions (direct):
Hf 0.5320 0.1250 0.2500  2 F 2.21
Hf 0.2180 0.6250 0.2500  2 F 2.21
Hf 0.3750 0.4680 0.7500  2 F 2.21
Hf 0.8750 0.7820 0.7500  2 F 2.21
Ag 0.0000 0.0000 0.0000  4 Hf 2.70
Ag 0.7500 0.2500 0.5000  4 Hf 2.70
F 0.5000 0.5000 0.0000  4 Hf 2.21
F 0.2500 0.7500 0.5000  4 Hf 2.21

Offset from the most stable computed form ... 141 meV per atom
Space-group type ... No. 122


No. 4
Entry from Alexandria via LeMat-Bulk: a relaxed structure of HfAg2F6 (PBE-GGA).

a b c (Å): 5.9271 6.3023 8.6866
angles (deg): 90.00 96.78 90.00
Closest atoms and distances in Å follow each position.
Positions (direct):
Hf 0.5000 0.5000 0.0000  6 F 2.01-2.02
Hf 0.0000 0.0000 0.5000  6 F 2.01-2.02
Ag 0.9528 0.4348 0.7578  6 F 2.43-2.72
Ag 0.5472 0.9348 0.7422  6 F 2.43-2.72
Ag 0.4528 0.0652 0.2578  6 F 2.43-2.72
Ag 0.0472 0.5652 0.2422  6 F 2.43-2.72
F 0.8356 0.8940 0.2984  1 Hf 2.01
F 0.8650 0.7589 0.6114  1 Hf 2.02
F 0.7700 0.6753 0.9589  1 Hf 2.01
F 0.7300 0.1753 0.5411  1 Hf 2.01
F 0.6350 0.2589 0.8886  1 Hf 2.02
F 0.6644 0.3940 0.2016  1 Hf 2.01
F 0.1644 0.1060 0.7016  1 Hf 2.01
F 0.1350 0.2411 0.3886  1 Hf 2.02
F 0.2300 0.3247 0.0411  1 Hf 2.01
F 0.2700 0.8247 0.4589  1 Hf 2.01
F 0.3650 0.7411 0.1114  1 Hf 2.02
F 0.3356 0.6060 0.7984  1 Hf 2.01

Offset from the most stable computed form ... 29 meV per atom
Space-group type ... No. 14


No. 5
Entry from Alexandria via LeMat-Bulk: a relaxed structure of HfAg2F8 (PBE-GGA).

a b c (Å): 3.5111 5.3455 9.0188
angles (deg): 108.41 101.22 90.00
Closest atoms and distances in Å follow each position.
Positions (direct):
Hf 0.5000 0.0000 0.0000  6 F 1.97-2.11
Ag 0.8284 0.3894 0.6568  4 F 2.15-2.19
Ag 0.1716 0.6106 0.3432  4 F 2.15-2.19
F 0.3956 0.5850 0.7911  2 Ag 2.19, 1 Hf 2.39, 2 F 2.40
F 0.6030 0.9299 0.2059  1 Hf 1.97
F 0.7429 0.7485 0.4858  2 Ag 2.15
F 0.0112 0.2288 0.0224  2 Hf 2.11, 1 F 2.35
F 0.2571 0.2515 0.5142  2 Ag 2.15
F 0.3970 0.0701 0.7941  1 Hf 1.97
F 0.6044 0.4150 0.2089  2 Ag 2.19, 1 Hf 2.39, 2 F 2.40
F 0.9888 0.7712 0.9776  2 Hf 2.11, 1 F 2.35

Offset from the most stable computed form ... 60 meV per atom
Space-group type ... No. 12


No. 6
Entry from Alexandria via LeMat-Bulk: a relaxed structure of HfAg4F10 (PBE-GGA).

a b c (Å): 5.5048 6.7794 6.7794
angles (deg): 80.51 66.05 66.05
Closest atoms and distances in Å follow each position.
Positions (direct):
Hf 0.0000 0.0000 0.0000  8 F 2.13
Ag 0.4122 0.7851 0.3904  4 F 2.32-2.34
Ag 0.8026 0.6096 0.7851  4 F 2.32-2.34
Ag 0.1974 0.3904 0.2149  4 F 2.32-2.34
Ag 0.5878 0.2149 0.6096  4 F 2.32-2.34
F 0.2500 0.5000 0.5000  4 Ag 2.34
F 0.6588 0.2774 0.9561  1 Hf 2.13, 1 Ag 2.32
F 0.0638 0.0439 0.2774  1 Hf 2.13, 1 Ag 2.32
F 0.3851 0.9561 0.7226  1 Hf 2.13, 1 Ag 2.32
F 0.8922 0.7226 0.0439  1 Hf 2.13, 1 Ag 2.32
F 0.3412 0.7226 0.0439  1 Hf 2.13, 1 Ag 2.32
F 0.7500 0.5000 0.5000  4 Ag 2.34
F 0.1078 0.2774 0.9561  1 Hf 2.13, 1 Ag 2.32
F 0.6149 0.0439 0.2774  1 Hf 2.13, 1 Ag 2.32
F 0.9362 0.9561 0.7226  1 Hf 2.13, 1 Ag 2.32

Uncorrected energy ... -4.63 eV per atom
Space-group type ... No. 87


No. 7
Entry from Alexandria via LeMat-Bulk: a relaxed structure of HfAg2F7 (PBE-GGA).

a b c (Å): 6.5728 6.9151 8.2040
angles (deg): 69.50 66.39 61.62
Closest atoms and distances in Å follow each position.
Positions (direct):
Hf 0.8879 0.2500 0.7500  6 F 2.00-2.11
Hf 0.1121 0.7500 0.2500  6 F 2.00-2.11
Ag 0.6022 0.9161 0.7298  4 F 2.20-2.35
Ag 0.7518 0.4161 0.2298  4 F 2.20-2.35
Ag 0.2482 0.5839 0.7702  4 F 2.20-2.35
Ag 0.3978 0.0839 0.2702  4 F 2.20-2.35
F 0.6177 0.5767 0.7481  1 Hf 2.11, 2 Ag 2.25-2.34
F 0.0575 0.0767 0.2481  1 Hf 2.11, 2 Ag 2.25-2.34
F 0.2629 0.8509 0.9868  1 Hf 2.00
F 0.2492 0.1071 0.6364  1 Hf 2.03
F 0.5412 0.2500 0.7500  2 Ag 2.20, 1 Hf 2.28
F 0.8993 0.3509 0.4868  1 Hf 2.00
F 0.9927 0.3929 0.8636  1 Hf 2.03
F 0.0073 0.6071 0.1364  1 Hf 2.03
F 0.1007 0.6491 0.5132  1 Hf 2.00
F 0.4588 0.7500 0.2500  2 Ag 2.20, 1 Hf 2.28
F 0.7508 0.8929 0.3636  1 Hf 2.03
F 0.7371 0.1491 0.0132  1 Hf 2.00
F 0.9425 0.9233 0.7519  1 Hf 2.11, 2 Ag 2.25-2.34
F 0.3823 0.4233 0.2519  1 Hf 2.11, 2 Ag 2.25-2.34

Uncorrected energy ... -5.32 eV per atom
Space-group type ... No. 15


No. 8
Entry from Alexandria via LeMat-Bulk: a relaxed structure of Hf2AgF (PBE-GGA).

a b c (Å): 4.6622 4.6622 4.6622
angles (deg): 60.00 60.00 60.00
Closest atoms and distances in Å follow each position.
Positions (direct):
Hf 0.2500 0.2500 0.2500  4 F 2.86, 4 Ag 2.86
Hf 0.7500 0.7500 0.7500  4 F 2.86, 4 Ag 2.86
Ag 0.5000 0.5000 0.5000  8 Hf 2.86
F 0.0000 0.0000 0.0000  8 Hf 2.86

Offset from the most stable computed form ... 0 meV per atom
Space-group type ... No. 225


No. 9
Entry from Alexandria via LeMat-Bulk: a relaxed structure of HfAgF3 (PBE-GGA).

a b c (Å): 4.2555 4.2555 4.2555
angles (deg): 90.00 90.00 90.00
Closest atoms and distances in Å follow each position.
Positions (direct):
Hf 0.0000 0.0000 0.0000  6 F 2.13
Ag 0.5000 0.5000 0.5000  12 F 3.01
F 0.0000 0.5000 0.0000  2 Hf 2.13
F 0.0000 0.0000 0.5000  2 Hf 2.13
F 0.5000 0.0000 0.0000  2 Hf 2.13

Offset from the most stable computed form ... 0 meV per atom
Space-group type ... No. 221


No. 10
Entry from Alexandria via LeMat-Bulk: a relaxed structure of Hf3AgF (PBE-GGA).

a b c (Å): 4.5048 4.5048 4.5048
angles (deg): 90.00 90.00 90.00
Closest atoms and distances in Å follow each position.
Positions (direct):
Hf 0.0000 0.5000 0.0000  2 F 2.25
Hf 0.0000 0.0000 0.5000  2 F 2.25
Hf 0.5000 0.0000 0.0000  2 F 2.25
Ag 0.5000 0.5000 0.5000  12 Hf 3.19
F 0.0000 0.0000 0.0000  6 Hf 2.25

Offset from the most stable computed form ... 0 meV per atom
Space-group type ... No. 221


No. 11
Entry from Alexandria via LeMat-Bulk: a relaxed structure of HfAgF (PBE-GGA).

a b c (Å): 3.0327 3.0319 14.8899
angles (deg): 90.00 90.00 120.01
Closest atoms and distances in Å follow each position.
Positions (direct):
Ag 0.6067 0.2133 0.0000  6 Hf 2.99, 6 Ag 3.03
Ag 0.3008 0.6016 0.5000  6 Ag 3.03
F 0.6065 0.2131 0.2589  3 Hf 2.26
F 0.6065 0.2131 0.7411  3 Hf 2.26
Hf 0.2730 0.5461 0.8372  3 F 2.26
Hf 0.2730 0.5461 0.1628  3 F 2.26

Uncorrected energy ... -6.11 eV per atom
Space-group type ... No. 38


No. 12
Entry from Alexandria via LeMat-Bulk: a relaxed structure of HfAgF3 (PBE-GGA).

a b c (Å): 4.4082 4.4082 4.4082
angles (deg): 90.00 90.00 90.00
Closest atoms and distances in Å follow each position.
Positions (direct):
Hf 0.5000 0.5000 0.5000  12 F 3.12
Ag 0.0000 0.0000 0.0000  6 F 2.20
F 0.0000 0.5000 0.0000  2 Ag 2.20
F 0.0000 0.0000 0.5000  2 Ag 2.20
F 0.5000 0.0000 0.0000  2 Ag 2.20

Offset from the most stable computed form ... 1456 meV per atom
Space-group type ... No. 221